Material: TlCd2Si
Method: DFT, meta-GGA SCAN
State: single point on PBEsol structure

## Properties
Energy above the most stable polymorph in this dataset: 0.008 eV per atom
Uncorrected formation energy: 0.37 eV per atom
Fermi-level density of states: 1.23 states/eV per cell

Lattice parameters (Å, degrees): 3.148 3.148 8.712 90.00 90.00 90.00
Fractional positions:
1 Tl 0.000 0.000 0.000
2 Cd 0.000 0.000 0.475
3 Cd 0.500 0.500 0.718
4 Si 0.500 0.500 0.261